--- 1 ---
A relaxed TbPr6Dy5 crystal. Source: Alexandria via LeMat-Bulk, functional GGA-PBE.

Properties
Symmetry: Immm (71)
Magnetic moment: 0.0 μB/cell

Unit cell a=5.166 b=10.168 c=9.595 alpha=121.99 beta=105.61 gamma=90.00
Sites, in units of the cell vectors:
Dy 0.000 0.500 0.000
Dy 0.667 0.167 0.334
Dy 0.667 0.667 0.333
Dy 0.333 0.333 0.667
Dy 0.333 0.833 0.666
Pr 0.500 0.250 0.000
Pr 0.500 0.750 0.000
Pr 0.167 0.917 0.333
Pr 0.167 0.417 0.333
Pr 0.833 0.083 0.667
Pr 0.833 0.583 0.667
Tb 0.000 0.000 0.000


--- 2 ---
A relaxed TbPr6Dy5 crystal. Source: Alexandria via LeMat-Bulk, functional GGA-PBE.

Properties
Symmetry: C2/m (12)
Magnetic moment: 0.0 μB/cell

Unit cell a=11.898 b=6.311 c=6.310 alpha=60.00 beta=84.94 gamma=79.85
Sites, in units of the cell vectors:
Tb 0.000 0.000 0.000
Pr 0.250 0.917 0.667
Pr 0.250 0.583 0.333
Pr 0.250 0.250 0.000
Pr 0.750 0.750 0.000
Pr 0.750 0.083 0.333
Pr 0.750 0.417 0.667
Dy 0.500 0.833 0.333
Dy 0.000 0.333 0.333
Dy 0.500 0.167 0.667
Dy 0.000 0.667 0.667
Dy 0.500 0.500 0.000


Quick ranking, most stable first: 2, 1.